Record 1
A geometry-optimized GaTcIr structure. Source: Alexandria via LeMat-Bulk, functional PBE.

```
6
Lattice="-2.8653 -3.8868 -0.4750 3.9395 -0.7344 2.7357 -2.3041 0.1416 4.7443" Properties=species:S:1:pos:R:3 pbc="T T T"
Ga 0.0094 -3.3406 3.2600
Ga -1.2393 -1.1390 3.7450
Tc -1.1326 -3.2509 5.5925
Tc -0.0972 -1.2288 1.4125
Ir 2.4409 -1.4287 2.0286
Ir -1.3667 -3.1926 0.2321
```

The value obtained for the energy above the most stable polymorph in this dataset is 382 meV per atom. The calculation puts the total energy at -7.252 eV/atom. Its space group is C2/m. The energy of formation from the pure elements comes out at 15.98 kJ/mol of atoms. Its crystal system is monoclinic.

Record 2
A geometry-optimized Ga4TcIr structure. Source: Alexandria via LeMat-Bulk, functional PBE.

```
6
Lattice="2.8060 0.0000 0.0000 0.0001 6.5489 -0.0191 0.0001 -0.0080 6.5488" Properties=species:S:1:pos:R:3 pbc="T T T"
Ga 1.4031 1.7439 4.7942
Ga 0.0002 5.0608 5.0520
Ga 2.8060 1.4800 1.4778
Ga 1.4031 4.7970 1.7355
Tc 0.0001 3.2704 3.2649
Ir 1.4030 0.0000 0.0000
```

The calculation puts the total energy at -5.289 eV/atom. Its space group is Cmmm. The energy of formation from the pure elements comes out at -6.45 kJ/mol of atoms. Its crystal system is orthorhombic.

Record 3
A geometry-optimized Tl2GaTcIr structure. Source: Alexandria via LeMat-Bulk, functional PBE.

```
5
Lattice="-1.1148 -1.6157 4.8890 -0.3823 -4.4696 -1.5642 5.1316 -0.7605 0.9188" Properties=species:S:1:pos:R:3 pbc="T T T"
Tl 2.5658 -0.3803 0.4594
Tl -0.5574 -0.8078 2.4445
Ir 0.0000 0.0000 0.0000
Tc 1.8172 -3.4229 2.1218
Ga -0.1912 -2.2348 -0.7821
```

The value obtained for the energy above the most stable polymorph in this dataset is 85 meV per atom. The calculation puts the total energy at -4.469 eV/atom. Its space group is P4/mmm. The energy of formation from the pure elements comes out at 89.58 kJ/mol of atoms. Its crystal system is tetragonal.

Record 4
A geometry-optimized Tl2GaTcIr structure. Source: Alexandria via LeMat-Bulk, functional PBE.

```
5
Lattice="5.3277 0.0000 0.0000 0.0000 4.7161 0.0000 0.0000 0.0000 5.3277" Properties=species:S:1:pos:R:3 pbc="T T T"
Tl 0.0000 0.0000 2.6639
Tl 2.6639 0.0000 0.0000
Ir 0.0000 2.3580 0.0000
Tc 0.0000 0.0000 0.0000
Ga 2.6639 2.3580 2.6639
```

The value obtained for the energy above the most stable polymorph in this dataset is 0 meV per atom. The calculation puts the total energy at -4.554 eV/atom. Its space group is P4/mmm. The energy of formation from the pure elements comes out at 81.39 kJ/mol of atoms. Its crystal system is tetragonal.

Record 5
A geometry-optimized Ga2TeIr2 structure. Source: Alexandria via LeMat-Bulk, functional PBE.

```
10
Lattice="7.5513 0.0000 0.0000 0.0000 7.5513 0.0000 0.0000 0.0000 2.9489" Properties=species:S:1:pos:R:3 pbc="T T T"
Ir 2.5795 6.3551 0.0000
Ir 6.3551 4.9718 0.0000
Ir 4.9718 1.1962 0.0000
Ir 1.1962 2.5795 0.0000
Te 0.0000 0.0000 0.0000
Te 3.7756 3.7756 0.0000
Ga 1.0271 4.8028 1.4744
Ga 4.8028 6.5242 1.4744
Ga 6.5242 2.7485 1.4744
Ga 2.7485 1.0271 1.4744
```

The calculation puts the total energy at -5.594 eV/atom. Its space group is P4/mbm. Its crystal system is tetragonal. The uncorrected formation energy comes out at -0.2104 eV/atom.

Record 6
A geometry-optimized GaTeIr3 structure. Source: Alexandria via LeMat-Bulk, functional PBE.

```
5
Lattice="-3.2756 -0.3155 3.6284 2.2128 -4.0484 1.6456 2.8928 2.7395 2.8497" Properties=species:S:1:pos:R:3 pbc="T T T"
Ir 1.1064 -2.0242 0.8228
Ir 1.4464 1.3698 1.4249
Ir -1.6378 -0.1578 1.8142
Te 0.0000 0.0000 0.0000
Ga 0.9150 -0.8122 4.0619
```

The value obtained for the energy above the most stable polymorph in this dataset is 445 meV per atom. The calculation puts the total energy at -4.948 eV/atom. Its space group is Pm-3m. Its crystal system is cubic. The uncorrected formation energy comes out at 1.6028 eV/atom.